[1]
CaSi3W: optimized geometry, PBE.

abc: 4.790 4.790 4.790
angles: 90.00 90.00 90.00
Space group Pm-3m (No. 221)
Asymmetric unit:
1 Ca 0.000 0.000 0.000 (multiplicity 1)
2 Si 0.000 0.000 0.500 (multiplicity 3)
3 W 0.500 0.500 0.500 (multiplicity 1)

- formation energy without anion corrections (meV per atom) = 2393
- V (Å³/atom) = 22.0

[2]
MgCo2Pt: optimized geometry, PBE.

abc: 3.675 3.675 4.023
angles: 90.00 90.00 90.00
Space group P4/mmm (No. 123)
Asymmetric unit:
1 Mg 0.000 0.000 0.000 (multiplicity 1)
2 Co 0.000 0.500 0.500 (multiplicity 2)
3 Pt 0.500 0.500 0.000 (multiplicity 1)

- formation energy (eV/atom) = -0.139
- V (Å³/atom) = 13.6

[3]
Al3CrRu: optimized geometry, PBE.

abc: 4.573 4.573 4.573
angles: 90.00 90.00 90.00
Space group Pm-3m (No. 221)
Asymmetric unit:
1 Al 0.000 0.000 0.500 (multiplicity 3)
2 Cr 0.500 0.500 0.500 (multiplicity 1)
3 Ru 0.000 0.000 0.000 (multiplicity 1)

- formation energy (eV/atom) = 0.702
- V (Å³/atom) = 19.1

[4]
Na3Np3CdTe8: optimized geometry, PBE.

abc: 15.250 8.812 9.101
angles: 90.00 123.91 90.00
Space group C2/m (No. 12)
Asymmetric unit:
1 Na 0.000 0.000 0.000 (multiplicity 2)
2 Na 0.250 0.250 0.000 (multiplicity 4)
3 Np 0.000 0.500 0.500 (multiplicity 2)
4 Np 0.250 0.250 0.500 (multiplicity 4)
5 Cd 0.000 0.000 0.500 (multiplicity 2)
6 Te 0.008 0.254 0.270 (multiplicity 8)
7 Te 0.245 0.000 0.730 (multiplicity 4)
8 Te 0.245 0.500 0.735 (multiplicity 4)

- formation energy without anion corrections (meV per atom) = -680
- V (Å³/atom) = 33.8

[5]
Na2CeHgSe4: optimized geometry, PBE.

abc: 7.273 4.183 7.507
angles: 90.00 111.35 90.00
Space group P2/m (No. 10)
Asymmetric unit:
1 Na 0.000 0.000 0.000 (multiplicity 1)
2 Na 0.500 0.500 0.000 (multiplicity 1)
3 Ce 0.000 0.500 0.500 (multiplicity 1)
4 Hg 0.500 0.000 0.500 (multiplicity 1)
5 Se 0.224 0.000 0.745 (multiplicity 2)
6 Se 0.260 0.500 0.283 (multiplicity 2)

- formation energy without anion corrections (meV per atom) = -1074
- V (Å³/atom) = 26.6

[6]
Mg2CuAs: optimized geometry, PBE.

abc: 7.690 3.078 6.553
angles: 90.00 100.95 90.00
Space group C2/m (No. 12)
Asymmetric unit:
1 Mg 0.247 0.000 0.241 (multiplicity 4)
2 Cu 0.000 0.500 0.000 (multiplicity 2)
3 As 0.000 0.000 0.500 (multiplicity 2)

- formation energy (eV/atom) = -0.089
- V (Å³/atom) = 19.0

[7]
BeTe2P: optimized geometry, PBE.

abc: 3.701 3.701 18.169
angles: 90.00 90.00 90.00
Space group I-4m2 (No. 119)
Asymmetric unit:
1 Be 0.000 0.000 0.000 (multiplicity 2)
2 Te 0.000 0.000 0.500 (multiplicity 2)
3 Te 0.000 0.500 0.250 (multiplicity 2)
4 P 0.000 0.500 0.750 (multiplicity 2)

- formation energy without anion corrections (meV per atom) = 498
- V (Å³/atom) = 31.1

[8]
TcAgSb2As: optimized geometry, PBE.

abc: 5.350 5.350 4.850
angles: 90.00 90.00 90.00
Space group P4/mmm (No. 123)
Asymmetric unit:
1 Tc 0.000 0.000 0.000 (multiplicity 1)
2 Ag 0.500 0.500 0.500 (multiplicity 1)
3 Sb 0.000 0.500 0.500 (multiplicity 2)
4 As 0.500 0.500 0.000 (multiplicity 1)

- formation energy without anion corrections (meV per atom) = 1329
- V (Å³/atom) = 27.8